# GGA+U HfInWO6, optimized geometry
# Total magnetization in μB/f.u.: 1.000
# Calculated density in g/cm3: 8.288
# Crystal system: trigonal
# Total energy in eV per atom: -7.788
data_HfInWO6
_chemical_formula_sum 'Hf2 In2 W2 O12'
_space_group_name_H-M_alt 'P -3 1 c'
_space_group_IT_number 163
_space_group_name_Hall '-P 3 2c'
_cell_length_a 5.3322
_cell_length_b 5.3322
_cell_length_c 9.3270
_cell_angle_alpha 90.00
_cell_angle_beta 90.00
_cell_angle_gamma 120.00
loop_
_atom_site_label
_atom_site_type_symbol
_atom_site_fract_x
_atom_site_fract_y
_atom_site_fract_z
Hf1 Hf 0.3333 0.6667 0.2500
In1 In 0.0000 0.0000 0.0000
W1 W 0.3333 0.6667 0.7500
O1 O 0.0113 0.3561 0.6329